[1]
# PBE PaAsCl, optimized geometry
data_PaAsCl
_cell_length_a 3.727
_cell_length_b 4.614
_cell_length_c 4.614
_cell_angle_alpha 120.00
_cell_angle_beta 90.00
_cell_angle_gamma 90.00
_space_group_name_H-M_alt 'P 1'
_space_group_IT_number 1
loop_
_space_group_symop_operation_xyz
'x,y,z'
loop_
_atom_site_label
_atom_site_type_symbol
_atom_site_fract_x
_atom_site_fract_y
_atom_site_fract_z
As1 As 0.667 0.333 0.667
Pa1 Pa 0.167 0.667 0.333
Cl1 Cl 0.166 0.000 0.000
# Uncorrected formation energy, kJ/mol of formula units: -254
# Total DFT energy (no corrections), eV per atom: -6.208
# Total moment, μB per formula unit: 0.96
# Excess energy over the best structure of this formula in the dataset, meV/atom: 356


[2]
# PBE PmPaAsCl, optimized geometry
data_PmPaAsCl
_cell_length_a 5.017
_cell_length_b 5.017
_cell_length_c 5.017
_cell_angle_alpha 60.00
_cell_angle_beta 60.00
_cell_angle_gamma 60.00
_space_group_name_H-M_alt 'P 1'
_space_group_IT_number 1
loop_
_space_group_symop_operation_xyz
'x,y,z'
loop_
_atom_site_label
_atom_site_type_symbol
_atom_site_fract_x
_atom_site_fract_y
_atom_site_fract_z
Cl1 Cl 0.750 0.750 0.750
As1 As 0.250 0.250 0.250
Pa1 Pa 0.000 0.000 0.000
Pm1 Pm 0.500 0.500 0.500
# Uncorrected formation energy, kJ/mol of formula units: -355
# Total DFT energy (no corrections), eV per atom: -6.107
# Total moment, μB per formula unit: 0.78